This record from Alexandria describes crystalline YAg2GeS4 at its relaxed geometry. The functional is PBE.

a b c (Å): 8.3479 7.2499 6.6710
angles (deg): 90.00 90.00 90.00
Space group Pmn2_1 (No. 31)
Inequivalent atoms, fractional coordinates:
Y: 0.0000 0.1699 0.0000 (multiplicity 2)
Ag: 0.2428 0.3068 0.5279 (multiplicity 4)
Ge: 0.0000 0.8137 0.5128 (multiplicity 2)
S: 0.0000 0.1284 0.3945 (multiplicity 2)
S: 0.0000 0.8291 0.8699 (multiplicity 2)
S: 0.2350 0.6507 0.4054 (multiplicity 4)

## Properties
Final energy = -76.71 eV/cell
Crystal system = orthorhombic
Total moment = 0.0 μB per formula unit
Energy relative to the elements, uncorrected = -632 meV/atom
Volume = 25.234 Å³ per atom